# CuBi2IrO6

A geometry-optimized CuBi2IrO6 structure (GGA-PBE, the Alexandria database).

Geometry as POSCAR:
```
CuBi2IrO6
1.0
-3.310 3.435 -2.924
-1.275 -4.604 -3.964
-5.714 -2.150 4.334
Ir O Cu Bi
2 12 2 4
Direct
0.500 0.000 0.000
0.000 0.500 0.500
0.820 0.154 0.029
0.670 0.731 0.072
0.614 0.947 0.748
0.830 0.231 0.428
0.320 0.346 0.529
0.114 0.553 0.248
0.330 0.269 0.928
0.386 0.053 0.252
0.886 0.447 0.752
0.180 0.846 0.971
0.680 0.654 0.471
0.170 0.769 0.572
0.000 0.500 0.000
0.500 0.000 0.500
0.007 0.074 0.761
0.993 0.926 0.239
0.507 0.426 0.261
0.493 0.574 0.739
```

Computed properties:
The formation energy from raw total energies is -903 meV per atom. For the total magnetic moment, the calculation gives 0.00 μB/f.u. The calculation puts the calculated total energy at -59.497 eV per formula unit. For the theoretical density, the calculation gives 9.8 g/cm³.